Entry 1:
Here is SbPRh2 after structural relaxation from the Alexandria database. Energies are from PBE-GGA.

Cell: 5.101 5.044 4.089 Å, 66.96 65.51 47.54°
Positions (direct):
Sb1 0.000 0.000 0.000
P1 0.500 0.500 0.500
Rh1 0.000 0.500 0.500
Rh2 0.500 0.000 0.000

Computed properties:
E_form (uncorrected) = 42.2 meV per atom
Total energy = -24.1 eV/cell
V = 69.7 Å³/cell
Magnetization = 0.000 μB/cell
Energy relative to the lowest polymorph listed for this composition = 489 meV per atom
Crystal system = orthorhombic
Space-group type = No. 69

=====

Entry 2:
Here is CaEu2Y after structural relaxation from the Alexandria database. Energies are from PBE-GGA.

Cell: 12.756 12.756 12.756 Å, 17.04 17.04 17.04°
Positions (direct):
Ca1 0.000 0.000 0.000
Eu1 0.247 0.247 0.247
Eu2 0.753 0.753 0.753
Y1 0.500 0.500 0.500

Computed properties:
Formation energy from the elements = 0.057 eV per atom
Total energy = -28.8 eV/cell
V = 155.5 Å³/cell
Magnetization = 15.314 μB/cell
Energy relative to the lowest polymorph listed for this composition = 0 meV per atom
Crystal system = trigonal
Space-group type = No. 166

=====

Entry 3:
Here is CdMo2Se after structural relaxation from the Alexandria database. Energies are from PBE-GGA.

Cell: 2.930 2.930 9.006 Å, 90.00 90.00 114.81°
Positions (direct):
Cd1 0.000 0.000 0.000
Mo1 0.500 0.500 0.275
Mo2 0.500 0.500 0.725
Se1 0.000 0.000 0.500

Computed properties:
E_form (uncorrected) = 579.4 meV per atom
Total energy = -23.7 eV/cell
V = 70.2 Å³/cell
Magnetization = 0.000 μB/cell
Energy relative to the lowest polymorph listed for this composition = 433 meV per atom
Crystal system = orthorhombic
Space-group type = No. 65

=====

Entry 4:
Here is ZrCd2Tc after structural relaxation from the Alexandria database. Energies are from PBE-GGA.

Cell: 4.767 4.767 4.767 Å, 60.00 60.00 60.00°
Positions (direct):
Zr1 0.000 0.000 0.000
Cd1 0.250 0.250 0.250
Cd2 0.750 0.750 0.750
Tc1 0.500 0.500 0.500

Computed properties:
Formation energy from the elements = 0.296 eV per atom
Total energy = -19.6 eV/cell
V = 76.6 Å³/cell
Magnetization = 0.000 μB/cell
Energy relative to the lowest polymorph listed for this composition = 298 meV per atom
Crystal system = cubic
Space-group type = No. 225

=====

Entry 5:
Here is Tb6Te3Pt2Au after structural relaxation from the Alexandria database. Energies are from PBE-GGA.

Cell: 7.230 7.230 7.766 Å, 98.91 98.91 120.01°
Positions (direct):
Tb1 0.080 0.427 0.781
Tb2 0.224 0.224 0.215
Tb3 0.427 0.080 0.781
Tb4 0.573 0.920 0.219
Tb5 0.776 0.776 0.785
Tb6 0.920 0.573 0.219
Te1 0.000 0.000 0.500
Te2 0.338 0.662 0.500
Te3 0.662 0.338 0.500
Pt1 0.168 0.832 0.000
Pt2 0.832 0.168 0.000
Au1 0.500 0.500 0.000

Computed properties:
E_form (uncorrected) = -1211.2 meV per atom
Total energy = -67.1 eV/cell
V = 334.2 Å³/cell
Magnetization = 0.000 μB/cell
Crystal system = monoclinic
Space-group type = No. 12

=====

Entry 6:
Here is AcPu2O6 after structural relaxation from the Alexandria database. Energies are from PBE-GGA.

Cell: 5.870 5.870 5.137 Å, 90.00 90.00 120.00°
Positions (direct):
Ac1 0.000 0.000 0.000
Pu1 0.333 0.667 0.500
Pu2 0.667 0.333 0.500
O1 0.000 0.361 0.717
O2 0.000 0.639 0.283
O3 0.361 0.000 0.717
O4 0.361 0.361 0.283
O5 0.639 0.000 0.283
O6 0.639 0.639 0.717

Computed properties:
E_form (uncorrected) = -3075.3 meV per atom
Total energy = -90.2 eV/cell
V = 153.3 Å³/cell
Magnetization = 7.000 μB/cell
Crystal system = trigonal
Space-group type = No. 162

=====

Entry 7:
Here is Tb2Pr3Sc2 after structural relaxation from the Alexandria database. Energies are from PBE-GGA.

Cell: 8.468 8.468 8.609 Å, 117.48 117.48 24.04°
Positions (direct):
Tb1 0.131 0.131 0.316
Tb2 0.869 0.869 0.684
Pr1 0.205 0.205 0.792
Pr2 0.500 0.500 0.500
Pr3 0.795 0.795 0.208
Sc1 0.430 0.430 0.066
Sc2 0.570 0.570 0.934

Computed properties:
Formation energy from the elements = 0.046 eV per atom
Total energy = -35.9 eV/cell
V = 221.7 Å³/cell
Magnetization = 0.000 μB/cell
Energy relative to the lowest polymorph listed for this composition = 0 meV per atom
Crystal system = monoclinic
Space-group type = No. 12

=====

Entry 8:
Here is SrTbNi2 after structural relaxation from the Alexandria database. Energies are from PBE-GGA.

Cell: 3.501 3.501 7.105 Å, 90.00 90.00 90.00°
Positions (direct):
Sr1 0.000 0.000 0.000
Tb1 0.000 0.000 0.500
Ni1 0.500 0.500 0.303
Ni2 0.500 0.500 0.697

Computed properties:
Formation energy from the elements = -0.155 eV per atom
Total energy = -18.5 eV/cell
V = 87.1 Å³/cell
Magnetization = 0.000 μB/cell
Crystal system = tetragonal
Space-group type = No. 123

=====

Entry 9:
Here is Ce2TlGa after structural relaxation from the Alexandria database. Energies are from PBE-GGA.

Cell: 3.958 3.958 6.688 Å, 90.00 90.00 90.00°
Positions (direct):
Ce1 0.000 0.000 0.205
Ce2 0.000 0.000 0.795
Tl1 0.500 0.500 0.500
Ga1 0.500 0.500 0.000

Computed properties:
Formation energy from the elements = -0.357 eV per atom
Total energy = -18.7 eV/cell
V = 104.8 Å³/cell
Magnetization = 1.346 μB/cell
Energy relative to the lowest polymorph listed for this composition = 0 meV per atom
Crystal system = tetragonal
Space-group type = No. 123

=====

Entry 10:
Here is ScTa2Os3 after structural relaxation from the Alexandria database. Energies are from PBE-GGA.

Cell: 3.172 3.172 9.723 Å, 90.00 90.00 90.00°
Positions (direct):
Sc1 0.000 0.000 0.000
Ta1 0.000 0.000 0.331
Ta2 0.000 0.000 0.669
Os1 0.500 0.500 0.174
Os2 0.500 0.500 0.500
Os3 0.500 0.500 0.826

Computed properties:
Formation energy from the elements = -0.424 eV per atom
Total energy = -66.3 eV/cell
V = 97.8 Å³/cell
Magnetization = 0.000 μB/cell
Crystal system = tetragonal
Space-group type = No. 123

=====

Entry 11:
Here is Sc2MoPdC after structural relaxation from the Alexandria database. Energies are from PBE-GGA.

Cell: 4.514 4.514 4.067 Å, 90.00 90.00 90.00°
Positions (direct):
Sc1 0.000 0.500 0.000
Sc2 0.500 0.000 0.000
Mo1 0.000 0.000 0.500
Pd1 0.500 0.500 0.500
C1 0.000 0.000 0.000

Computed properties:
Formation energy from the elements = -0.346 eV per atom
Total energy = -39.6 eV/cell
V = 82.9 Å³/cell
Magnetization = 1.090 μB/cell
Crystal system = tetragonal
Space-group type = No. 123

=====

Entry 12:
Here is YHo3Ni after structural relaxation from the Alexandria database. Energies are from PBE-GGA.

Cell: 3.507 9.288 9.989 Å, 70.59 79.94 89.93°
Positions (direct):
Y1 0.008 0.312 0.486
Y2 0.992 0.688 0.514
Ho1 0.170 0.981 0.161
Ho2 0.188 0.353 0.125
Ho3 0.367 0.375 0.766
Ho4 0.633 0.625 0.234
Ho5 0.812 0.647 0.875
Ho6 0.830 0.019 0.839
Ni1 0.247 0.789 0.005
Ni2 0.753 0.211 0.995

Computed properties:
Formation energy from the elements = -0.005 eV per atom
Total energy = -52.0 eV/cell
V = 301.6 Å³/cell
Magnetization = 0.310 μB/cell
Energy relative to the lowest polymorph listed for this composition = 78 meV per atom
Crystal system = triclinic
Space-group type = No. 2

=====

Entry 13:
Here is Cu2OsSe after structural relaxation from the Alexandria database. Energies are from PBE-GGA.

Cell: 2.703 2.703 8.324 Å, 90.00 90.00 90.00°
Positions (direct):
Cu1 0.000 0.000 0.222
Cu2 0.000 0.000 0.778
Os1 0.500 0.500 0.000
Se1 0.500 0.500 0.500

Computed properties:
E_form (uncorrected) = 529.5 meV per atom
Total energy = -20.8 eV/cell
V = 60.8 Å³/cell
Magnetization = 0.001 μB/cell
Crystal system = tetragonal
Space-group type = No. 123

=====

Entry 14:
Here is Li2Ca5F12 after structural relaxation from the Alexandria database. Energies are from PBE-GGA.

Cell: 6.910 6.910 7.391 Å, 105.46 105.46 50.40°
Positions (direct):
Li1 0.219 0.781 0.000
Li2 0.781 0.219 0.000
Ca1 0.000 0.000 0.500
Ca2 0.313 0.313 0.154
Ca3 0.318 0.318 0.659
Ca4 0.682 0.682 0.341
Ca5 0.687 0.687 0.846
F1 0.003 0.003 0.801
F2 0.093 0.565 0.908
F3 0.094 0.594 0.427
F4 0.406 0.906 0.573
F5 0.435 0.907 0.092
F6 0.498 0.498 0.200
F7 0.502 0.502 0.800
F8 0.565 0.093 0.908
F9 0.594 0.094 0.427
F10 0.906 0.406 0.573
F11 0.907 0.435 0.092
F12 0.997 0.997 0.199

Computed properties:
E_form (uncorrected) = -3686.5 meV per atom
Total energy = -106.3 eV/cell
V = 259.9 Å³/cell
Magnetization = 0.157 μB/cell
Crystal system = monoclinic
Space-group type = No. 12

=====

Entry 15:
Here is CsNa10Tl after structural relaxation from the Alexandria database. Energies are from PBE-GGA.

Cell: 6.019 7.000 12.111 Å, 90.00 90.00 90.00°
Positions (direct):
Cs1 0.000 0.000 0.000
Na1 0.000 0.000 0.356
Na2 0.000 0.000 0.644
Na3 0.000 0.500 0.214
Na4 0.000 0.500 0.786
Na5 0.500 0.000 0.500
Na6 0.500 0.262 0.274
Na7 0.500 0.262 0.726
Na8 0.500 0.500 0.000
Na9 0.500 0.738 0.274
Na10 0.500 0.738 0.726
Tl1 0.000 0.500 0.500

Computed properties:
Formation energy from the elements = 0.058 eV per atom
Total energy = -15.7 eV/cell
V = 510.2 Å³/cell
Magnetization = 0.000 μB/cell
Crystal system = orthorhombic
Space-group type = No. 47

=====

Entry 16:
Here is RbTl2Sb2 after structural relaxation from the Alexandria database. Energies are from PBE-GGA.

Cell: 7.223 7.223 6.009 Å, 109.34 109.34 40.39°
Positions (direct):
Rb1 0.000 0.000 0.000
Tl1 0.373 0.373 0.456
Tl2 0.627 0.627 0.544
Sb1 0.258 0.258 0.860
Sb2 0.742 0.742 0.140

Computed properties:
E_form (uncorrected) = -126.1 meV per atom
Total energy = -14.6 eV/cell
V = 190.1 Å³/cell
Magnetization = 0.000 μB/cell
Energy relative to the lowest polymorph listed for this composition = 56 meV per atom
Crystal system = monoclinic
Space-group type = No. 12

=====

Entry 17:
Here is TaVRe2Mo after structural relaxation from the Alexandria database. Energies are from PBE-GGA.

Cell: 4.704 4.704 4.441 Å, 90.00 90.00 90.00°
Positions (direct):
Ta1 0.000 0.000 0.000
V1 0.000 0.000 0.500
Re1 0.000 0.500 0.000
Re2 0.500 0.000 0.000
Mo1 0.500 0.500 0.500

Computed properties:
Formation energy from the elements = 2.129 eV per atom
Total energy = -46.1 eV/cell
V = 98.2 Å³/cell
Magnetization = 0.000 μB/cell
Energy relative to the lowest polymorph listed for this composition = 0 meV per atom
Crystal system = tetragonal
Space-group type = No. 123

=====

Entry 18:
Here is GaTc2Ge2 after structural relaxation from the Alexandria database. Energies are from PBE-GGA.

Cell: 6.915 6.915 6.915 Å, 150.55 150.55 42.13°
Positions (direct):
Ga1 0.000 0.000 0.000
Tc1 0.395 0.395 0.000
Tc2 0.605 0.605 0.000
Ge1 0.250 0.750 0.500
Ge2 0.750 0.250 0.500

Computed properties:
Formation energy from the elements = 0.050 eV per atom
Total energy = -32.7 eV/cell
V = 79.7 Å³/cell
Magnetization = 0.000 μB/cell
Energy relative to the lowest polymorph listed for this composition = 150 meV per atom
Crystal system = tetragonal
Space-group type = No. 139

=====

Entry 19:
Here is SrMg2Ru after structural relaxation from the Alexandria database. Energies are from PBE-GGA.

Cell: 5.024 5.024 5.024 Å, 120.14 120.14 89.77°
Positions (direct):
Sr1 0.000 0.000 0.000
Mg1 0.250 0.750 0.500
Mg2 0.500 0.500 0.000
Ru1 0.750 0.250 0.500

Computed properties:
Formation energy from the elements = 0.307 eV per atom
Total energy = -12.9 eV/cell
V = 89.5 Å³/cell
Magnetization = 0.000 μB/cell
Crystal system = tetragonal
Space-group type = No. 119

=====

Entry 20:
Here is CaThIrAu after structural relaxation from the Alexandria database. Energies are from PBE-GGA.

Cell: 4.217 6.181 6.181 Å, 37.16 90.00 90.00°
Positions (direct):
Ca1 0.000 0.000 0.000
Th1 0.500 0.720 0.720
Ir1 0.000 0.257 0.257
Au1 0.500 0.438 0.438

Computed properties:
Formation energy from the elements = -0.791 eV per atom
Total energy = -24.7 eV/cell
V = 97.3 Å³/cell
Magnetization = 0.000 μB/cell
Energy relative to the lowest polymorph listed for this composition = 0 meV per atom
Crystal system = orthorhombic
Space-group type = No. 38